Entry from the Alexandria database: a relaxed structure of La3Mo2C4 (GGA-PBE).

POSCAR file:
```
La3Mo2C4
1.0
5.909 -4.499 0.000
5.909 4.499 0.000
-0.192 0.000 5.962
La Mo C
6 4 8
direct
0.106 0.894 0.750
0.252 0.510 0.460
0.490 0.748 0.040
0.510 0.252 0.960
0.748 0.490 0.540
0.894 0.106 0.250
0.082 0.323 0.908
0.323 0.082 0.408
0.677 0.918 0.592
0.918 0.677 0.092
0.100 0.234 0.586
0.194 0.547 0.977
0.234 0.100 0.086
0.453 0.806 0.523
0.547 0.194 0.477
0.766 0.900 0.914
0.806 0.453 0.023
0.900 0.766 0.414
```

**Electronic total energy**: -147.64 eV/cell
**Space group**: C2/c, No. 15
**Total moment**: 0.00 μB per formula unit
**DFT formation energy**: -0.05 eV/atom